Here is crystalline KBe2AsP at its relaxed geometry from Alexandria. Energies are from GGA-PBE.

```
KBe2AsP
1.0
3.678 0.000 0.000
0.000 7.927 0.184
0.000 -1.603 6.674
K Be As P
2 4 2 2
Direct
0.250 0.057 0.756
0.750 0.943 0.244
0.750 0.519 0.387
0.250 0.481 0.613
0.750 0.506 0.869
0.250 0.494 0.131
0.250 0.685 0.912
0.750 0.315 0.088
0.250 0.677 0.426
0.750 0.323 0.574
```

Properties
crystal system	monoclinic
energy	-4.05	eV per atom